VASP calculation (PBE with a Hubbard U) on crystalline Li5Fe3Sn2O10 at its relaxed geometry.

Calculated total energy ... -5.9003 eV/atom

abc: 5.2802 5.3182 8.0912
angles: 101.49 108.37 100.62
Space group P-1 (No. 2)
Symmetry-distinct sites (fractional):
Li1 0.0000 0.0000 0.0000
Li2 0.2030 0.0882 0.7041
Li3 0.4161 0.7281 0.9072
Fe1 0.0000 0.5000 0.5000
Fe2 0.3962 0.1955 0.3955
Sn1 0.2042 0.6031 0.1981
O1 0.0035 0.2834 0.2711
O2 0.1824 0.8206 0.4416
O3 0.1866 0.3566 0.9585
O4 0.3940 0.9519 0.1624
O5 0.4085 0.4354 0.6446